*A*
SmMgSb after structural relaxation. Source: the Open Quantum Materials Database, functional PBE.

Output
As for the crystal system: cubic. The value obtained for the total magnetic moment is 0.000 μB/atom.

Lattice parameters (Å, degrees): 7.294 7.294 7.294 90.00 90.00 90.00
Space group F-43m (No. 216)
Symmetry-distinct sites (fractional):
Sm: 0.000 0.000 0.000 x4
Mg: 0.250 0.250 0.750 x4
Sb: 0.250 0.250 0.250 x4



*B*
SmMgSb after structural relaxation. Source: the Open Quantum Materials Database, functional PBE.

Output
As for the crystal system: cubic. The value obtained for the total magnetic moment is 0.001 μB/atom.

Lattice parameters (Å, degrees): 7.117 7.117 7.117 90.00 90.00 90.00
Space group F-43m (No. 216)
Symmetry-distinct sites (fractional):
Sm: 0.000 0.000 0.000 x4
Mg: 0.000 0.000 0.500 x4
Sb: 0.250 0.250 0.750 x4



*B* ends up most stable, edging out the next structure by 8.9 kJ/mol of atoms.